No. 1
Mg4CdOs | PBE-GGA | optimized geometry

Cell lengths 5.426, 5.426, 5.426 Å; angles 60.00, 60.00, 60.00 degrees
Sites, in units of the cell vectors:
Mg 0.124 0.124 0.124
Mg 0.124 0.124 0.628
Mg 0.124 0.628 0.124
Mg 0.628 0.124 0.124
Cd 0.500 0.500 0.500
Os 0.750 0.750 0.750

Output
E = -15.70 eV per cell
Magnetization = 0.0 μB per formula unit
Energy of formation = 0.47 eV/atom


No. 2
MgCd2Os | PBE-GGA | optimized geometry

Cell lengths 4.140, 4.140, 4.170 Å; angles 90.00, 90.00, 90.00 degrees
Sites, in units of the cell vectors:
Mg 0.000 0.000 0.000
Cd 0.000 0.500 0.500
Cd 0.500 0.000 0.500
Os 0.500 0.500 0.000

Output
E = -13.42 eV per cell
Magnetization = 0.0 μB per formula unit
Energy of formation = 0.31 eV/atom


No. 3
MgCd2Os | PBE-GGA | optimized geometry

Cell lengths 5.155, 5.155, 2.964 Å; angles 90.00, 90.00, 112.40 degrees
Sites, in units of the cell vectors:
Mg 0.000 0.000 0.000
Cd 0.000 0.500 0.500
Cd 0.500 0.000 0.500
Os 0.500 0.500 0.000

Output
E = -13.14 eV per cell
Magnetization = 0.9 μB per formula unit
Energy of formation = 0.38 eV/atom


No. 4
Mg2CdOs | PBE-GGA | optimized geometry

Cell lengths 10.001, 10.001, 10.001 Å; angles 16.90, 16.90, 16.90 degrees
Sites, in units of the cell vectors:
Mg 0.239 0.239 0.239
Mg 0.761 0.761 0.761
Cd 0.000 0.000 0.000
Os 0.500 0.500 0.500

Output
E = -14.55 eV per cell
Magnetization = 0.0 μB per formula unit
Energy of formation = 0.20 eV/atom


Which of these has the highest magnetization? number 3